No. 1
Compound: VSiAu
Source: Alexandria
Functional: PBE
Structure: relaxed

Unit cell a=3.4728 b=3.4728 c=7.7225 alpha=90.00 beta=90.00 gamma=90.00
Last column: nearest neighbours and their distance in Å.
Space group I4mm (No. 107)
Symmetry-distinct sites (fractional):
1 V 0.0000 0.0000 0.0000 x2  5 Au 2.59-2.77, 5 Si 2.59-2.77
2 Si 0.0000 0.0000 0.6647 x2  5 Au 2.55-2.79, 5 V 2.59-2.77
3 Au 0.0000 0.0000 0.3349 x2  5 Si 2.55-2.79, 5 V 2.59-2.77

Values from the calculation:
ρ: 9.8 g/cm3
formation energy (no corrections): 206 meV per atom
magnetic moment: 0.00 μB per cell

No. 2
Compound: HfPtI2
Source: Alexandria
Functional: PBE
Structure: relaxed

Unit cell a=7.1512 b=7.1512 c=7.1512 alpha=90.00 beta=90.00 gamma=90.00
Last column: nearest neighbours and their distance in Å.
Space group Fm-3m (No. 225)
Symmetry-distinct sites (fractional):
1 Hf 0.0000 0.0000 0.0000 x4  8 I 3.10
2 Pt 0.0000 0.0000 0.5000 x4  8 I 3.10
3 I 0.2500 0.2500 0.2500 x8  4 Hf 3.10, 4 Pt 3.10

Values from the calculation:
ρ: 11.4 g/cm3
polymorph energy (0 for the lowest one): 0.0000 eV per atom
formation energy (no corrections): 283 meV per atom
magnetic moment: 0.00 μB per cell